Entry from Alexandria via LeMat-Bulk: a geometry-optimized LaV2F structure (GGA+U).

Lattice parameters (Å, degrees): 5.096 5.096 5.096 60.00 60.00 60.00
Positions (direct):
V 0.750 0.750 0.750
V 0.250 0.250 0.250
F 0.000 0.000 0.000
La 0.500 0.500 0.500

raw total energy = -4.701 eV/atom